PmScRe | PBE | relaxed

For the calculated volume, the calculation gives 23.76 Å³/atom. The size of the total moment comes out at 0.00 μB per atom. As for the formation enthalpy at 0 K: 0.95 eV/atom.

a b c (Å): 4.6537 4.6537 4.6537
angles (deg): 60.00 60.00 60.00
Positions (direct):
Pm  0.2500  0.2500  0.2500
Re  0.7500  0.7500  0.7500
Sc  0.0000  0.0000  0.0000